Here is an optimized crystal structure of Cd5In12Sn2 from Alexandria. Energies are from PBE.

Spin magnetization (μB per formula unit): 0.00
Mass density (g/cm³): 7.1
Energy of formation (eV/f.u.): 0.98
E_tot (Ry/atom): -0.172
E above lowest polymorph (meV per atom): 0

The structure in POSCAR format:
```
Cd5In12Sn2
1.0
8.3154 -5.4458 0.0000
8.3154 5.4458 0.0000
-1.3554 0.0000 5.6258
Cd In Sn
5 12 2
Direct
0.0000 0.0000 0.0000
0.1986 0.1986 0.1149
0.3100 0.3100 0.6641
0.6900 0.6900 0.3359
0.8014 0.8014 0.8851
0.0467 0.5464 0.2929
0.0994 0.0994 0.5566
0.1584 0.6439 0.8944
0.3561 0.8416 0.1056
0.4080 0.4080 0.2212
0.4536 0.9533 0.7071
0.5464 0.0467 0.2929
0.5920 0.5920 0.7788
0.6439 0.1584 0.8944
0.8416 0.3561 0.1056
0.9006 0.9006 0.4434
0.9533 0.4536 0.7071
0.2717 0.7283 0.5000
0.7283 0.2717 0.5000
```


Here is an optimized crystal structure of NdSm3Ho3 from Alexandria. Energies are from PBE.

Spin magnetization (μB per formula unit): 0.00
Mass density (g/cm³): 7.8
Energy of formation (eV/f.u.): 0.14
E_tot (Ry/atom): -0.341
E above lowest polymorph (meV per atom): 0

The structure in POSCAR format:
```
NdSm3Ho3
1.0
9.6333 0.0000 0.0000
-4.8167 8.3427 0.0000
0.0000 0.0000 5.7578
Nd Sm Ho
2 6 6
Direct
0.3333 0.6667 0.2500
0.6667 0.3333 0.7500
0.0958 0.6206 0.7500
0.3794 0.4752 0.7500
0.4752 0.0958 0.2500
0.5248 0.9042 0.7500
0.6206 0.5248 0.2500
0.9042 0.3794 0.2500
0.0469 0.8131 0.2500
0.1869 0.2338 0.2500
0.2338 0.0469 0.7500
0.7662 0.9531 0.2500
0.8131 0.7662 0.7500
0.9531 0.1869 0.7500
```


Here is an optimized crystal structure of CuIrSe2 from Alexandria. Energies are from PBE.

Spin magnetization (μB per formula unit): 0.00
Mass density (g/cm³): 10.4
E_tot (Ry/atom): -0.314
Formation energy without anion corrections (eV/atom): 0.7102

The structure in POSCAR format:
```
CuIrSe2
1.0
6.4112 0.0000 0.0000
0.0000 6.4112 0.0000
0.0000 0.0000 6.4112
Cu Ir Se
4 4 8
Direct
0.0000 0.0000 0.0000
0.0000 0.5000 0.5000
0.5000 0.0000 0.5000
0.5000 0.5000 0.0000
0.2500 0.2500 0.2500
0.2500 0.7500 0.7500
0.7500 0.2500 0.7500
0.7500 0.7500 0.2500
0.0000 0.0000 0.5000
0.0000 0.5000 0.0000
0.2500 0.2500 0.7500
0.2500 0.7500 0.2500
0.5000 0.0000 0.0000
0.5000 0.5000 0.5000
0.7500 0.2500 0.2500
0.7500 0.7500 0.7500
```


Here is an optimized crystal structure of GeCN from Alexandria. Energies are from PBE.

Spin magnetization (μB per formula unit): 0.00
Mass density (g/cm³): 4.8
E_tot (Ry/atom): -0.487
Formation energy without anion corrections (eV/atom): 0.7641
E above lowest polymorph (meV per atom): 244

The structure in POSCAR format:
```
GeCN
1.0
2.5008 0.0000 0.0000
1.2504 2.1664 0.0000
1.2250 0.7257 6.2987
Ge C N
1 1 1
Direct
0.0000 0.0000 0.0000
0.8825 0.8781 0.3639
0.1929 0.1874 0.4353
```


Here is an optimized crystal structure of ScZn2TeP from Alexandria. Energies are from PBE.

Spin magnetization (μB per formula unit): 0.00
Mass density (g/cm³): 4.0
E_tot (Ry/atom): -0.214
Formation energy without anion corrections (eV/atom): 0.5780

The structure in POSCAR format:
```
ScZn2TeP
1.0
5.0006 0.0000 0.0000
0.0000 5.0006 0.0000
0.0000 0.0000 5.5165
Sc Zn Te P
1 2 1 1
Direct
0.0000 0.0000 0.0000
0.0000 0.5000 0.5000
0.5000 0.0000 0.5000
0.0000 0.0000 0.5000
0.5000 0.5000 0.0000
```


Here is an optimized crystal structure of Cd2SiP from Alexandria. Energies are from PBE.

Spin magnetization (μB per formula unit): 0.00
Mass density (g/cm³): 5.5
E_tot (Ry/atom): -0.208
Formation energy without anion corrections (eV/atom): 0.3336
E above lowest polymorph (meV per atom): 268

The structure in POSCAR format:
```
Cd2SiP
1.0
3.3359 0.0000 0.0000
0.0000 5.0472 0.0000
0.0000 0.0000 10.1119
Cd Si P
4 2 2
Direct
0.0000 0.0000 0.0000
0.0000 0.5000 0.2955
0.5000 0.0000 0.2955
0.5000 0.5000 0.0000
0.0000 0.0000 0.5662
0.5000 0.5000 0.5662
0.0000 0.5000 0.7188
0.5000 0.0000 0.7188
```